Entry 1:
5
Lattice="5.427 0.000 0.000 0.000 5.427 0.000 0.000 0.000 5.427" Properties=species:S:1:pos:R:3 comment="PIrI3 (PBE-GGA, relaxed)" sg="No. 221" formation_energy_uncorrected_ev_per_atom=1.34 polymorph_energy_kcal_per_mol_atoms=10.427 m_tot_mub_per_fu=2.659 final_energy_ev_per_atom=-2.442 pbc="T T T"
P 0.000 0.000 0.000
Ir 2.714 2.714 2.714
I 0.000 0.000 2.714
I 0.000 2.714 0.000
I 2.714 0.000 0.000

---

Entry 2:
16
Lattice="4.230 2.442 7.968 -4.230 2.442 7.968 0.000 -4.884 7.968" Properties=species:S:1:pos:R:3 comment="Pm8PIr3I4 (PBE-GGA, relaxed)" sg="No. 166" formation_energy_uncorrected_ev_per_atom=-1.03 m_tot_mub_per_fu=0.000 final_energy_ev_per_atom=-5.790 pbc="T T T"
Pm -2.179 -1.258 13.417
Pm 0.000 0.000 5.462
Pm 0.000 -2.516 10.488
Pm -2.179 1.258 10.488
Pm 2.179 -1.258 13.417
Pm 0.000 2.516 13.417
Pm 0.000 0.000 18.443
Pm 2.179 1.258 10.488
P 0.000 0.000 11.952
Ir -4.230 0.000 11.952
Ir -2.115 1.221 3.984
Ir 2.115 1.221 3.984
I 0.000 0.000 0.000
I -2.115 -1.221 7.968
I -2.115 1.221 15.936
I 0.000 2.442 7.968

---

Entry 3:
12
Lattice="3.660 -6.337 0.000 3.660 6.337 0.000 -2.418 0.000 7.955" Properties=species:S:1:pos:R:3 comment="Pm6PIr2I3 (PBE-GGA, relaxed)" sg="No. 12" formation_energy_uncorrected_ev_per_atom=-1.07 m_tot_mub_per_fu=0.000 final_energy_ev_per_atom=-5.763 pbc="T T T"
Pm -0.013 2.170 6.479
Pm 1.154 0.000 1.473
Pm -0.013 -2.170 6.479
Pm 4.916 2.170 1.476
Pm 3.749 0.000 6.482
Pm 4.916 -2.170 1.476
P 3.660 0.000 0.000
Ir 3.660 4.222 0.000
Ir 3.660 -4.222 0.000
I -1.209 0.000 3.977
I 2.452 2.079 3.977
I 2.452 -2.079 3.977